Arrangement i

## NdGa3Pt (PBE-GGA)

Data for crystalline NdGa3Pt at its relaxed geometry.

a b c (Å): 4.188 4.188 5.689
angles (deg): 90.00 90.00 90.00
Space group P4mm (No. 99)
One atom of each set of equivalent atoms:
Nd1 0.000 0.000 0.000 [1 per cell]
Ga1 0.000 0.500 0.489 [2 per cell]
Ga2 0.500 0.500 0.782 [1 per cell]
Pt1 0.500 0.500 0.216 [1 per cell]

## Properties
The value obtained for the density of states at the Fermi level is 2.7 states/eV/cell. As for the density: 9.13 g cm⁻³.


Arrangement ii

## NdGa3Pt (PBE-GGA)

Data for crystalline NdGa3Pt at its relaxed geometry.

a b c (Å): 4.205 4.205 10.922
angles (deg): 90.00 90.00 90.00
Space group I-4m2 (No. 119)
One atom of each set of equivalent atoms:
Nd1 0.000 0.000 0.000 [2 per cell]
Ga1 0.000 0.000 0.386 [4 per cell]
Ga2 0.000 0.500 0.250 [2 per cell]
Pt1 0.000 0.500 0.750 [2 per cell]

## Properties
The value obtained for the density of states at the Fermi level is 4.5 states/eV/cell. As for the density: 9.43 g cm⁻³.


Arrangement iii

## NdGa3Pt (PBE-GGA)

Data for crystalline NdGa3Pt at its relaxed geometry.

a b c (Å): 8.388 4.320 10.973
angles (deg): 90.00 90.00 90.00
Space group Pnma (No. 62)
One atom of each set of equivalent atoms:
Nd1 0.196 0.250 0.021 [4 per cell]
Ga1 0.067 0.250 0.589 [4 per cell]
Ga2 0.115 0.750 0.817 [4 per cell]
Ga3 0.142 0.750 0.217 [4 per cell]
Pt1 0.088 0.250 0.350 [4 per cell]

## Properties
The value obtained for the density of states at the Fermi level is 6.7 states/eV/cell. As for the density: 9.16 g cm⁻³.


Quick look at relative energies in kJ/mol of atoms: arrangement i 6.6; arrangement ii 2.5; arrangement iii 0.0.


Arrangement i

## Nd3Ga8Pt3 (PBE-GGA)

Data for crystalline Nd3Ga8Pt3 at its relaxed geometry.

a b c (Å): 15.975 4.468 9.164
angles (deg): 90.00 124.16 90.00
Space group C2/m (No. 12)
One atom of each set of equivalent atoms:
Nd1 0.000 0.000 0.000 [2 per cell]
Nd2 0.209 0.500 0.700 [4 per cell]
Ga1 0.004 0.500 0.678 [4 per cell]
Ga2 0.139 0.000 0.426 [4 per cell]
Ga3 0.154 0.000 0.870 [4 per cell]
Ga4 0.154 0.500 0.287 [4 per cell]
Pt1 0.000 0.000 0.500 [2 per cell]
Pt2 0.149 0.500 0.004 [4 per cell]

## Properties
The value obtained for the density of states at the Fermi level is 11.0 states/eV/cell. As for the density: 9.67 g cm⁻³.


Arrangement ii

## Nd3Ga8Pt3 (PBE-GGA)

Data for crystalline Nd3Ga8Pt3 at its relaxed geometry.

a b c (Å): 4.317 9.981 12.546
angles (deg): 90.00 90.00 90.00
Space group Immm (No. 71)
One atom of each set of equivalent atoms:
Nd1 0.000 0.000 0.000 [2 per cell]
Nd2 0.000 0.000 0.320 [4 per cell]
Ga1 0.000 0.281 0.127 [8 per cell]
Ga2 0.000 0.370 0.332 [8 per cell]
Pt1 0.000 0.219 0.500 [4 per cell]
Pt2 0.000 0.500 0.000 [2 per cell]

## Properties
The value obtained for the density of states at the Fermi level is 10.1 states/eV/cell. As for the density: 9.68 g cm⁻³.


Quick look at relative energies in kJ/mol of atoms: arrangement i 0.0; arrangement ii 2.3.


Arrangement i

## Nd8Ga2Pt (PBE-GGA)

Data for crystalline Nd8Ga2Pt at its relaxed geometry.

a b c (Å): 19.144 5.056 6.885
angles (deg): 90.00 102.82 90.00
Space group C2/m (No. 12)
One atom of each set of equivalent atoms:
Nd1 0.022 0.000 0.279 [4 per cell]
Nd2 0.093 0.500 0.961 [4 per cell]
Nd3 0.155 0.500 0.482 [4 per cell]
Nd4 0.211 0.000 0.818 [4 per cell]
Ga1 0.185 0.000 0.251 [4 per cell]
Pt1 0.000 0.500 0.500 [2 per cell]

## Properties
The value obtained for the density of states at the Fermi level is 21.8 states/eV/cell. As for the density: 7.61 g cm⁻³.


Arrangement ii

## Nd8Ga2Pt (PBE-GGA)

Data for crystalline Nd8Ga2Pt at its relaxed geometry.

a b c (Å): 18.259 5.310 7.112
angles (deg): 90.00 112.90 90.00
Space group C2/m (No. 12)
One atom of each set of equivalent atoms:
Nd1 0.000 0.000 0.248 [4 per cell]
Nd2 0.133 0.500 0.898 [4 per cell]
Nd3 0.134 0.500 0.369 [4 per cell]
Nd4 0.199 0.000 0.698 [4 per cell]
Ga1 0.185 0.000 0.184 [4 per cell]
Pt1 0.000 0.500 0.500 [2 per cell]

## Properties
The value obtained for the density of states at the Fermi level is 24.8 states/eV/cell. As for the density: 7.78 g cm⁻³.


Quick look at relative energies in kJ/mol of atoms: arrangement i 0.0; arrangement ii 6.8.